No. 1
Compound: SrV2Pt2
Source: Alexandria
Functional: PBE
Structure: relaxed

```
SrV2Pt2
1.0
7.943 0.000 0.000
0.000 7.943 0.000
0.000 0.000 2.793
Sr V Pt
2 4 4
direct
0.000 0.000 0.000 Sr
0.500 0.500 0.000 Sr
0.107 0.393 0.000 V
0.393 0.893 0.000 V
0.607 0.107 0.000 V
0.893 0.607 0.000 V
0.178 0.678 0.500 Pt
0.322 0.178 0.500 Pt
0.678 0.822 0.500 Pt
0.822 0.322 0.500 Pt
```

Output
Its energy above the most stable polymorph in this dataset is 33 kJ/mol of formula units. The size of the total moment is 0.000 μB/atom. As for the total energy: -66.6 eV per cell.


No. 2
Compound: Pm3Ho3Th2
Source: Alexandria
Functional: PBE
Structure: relaxed

```
Pm3Ho3Th2
1.0
6.195 0.000 0.000
-2.045 5.859 0.000
-2.079 -2.924 7.179
Pm Ho Th
3 3 2
direct
0.000 0.000 0.000 Pm
0.130 0.630 0.261 Pm
0.870 0.370 0.739 Pm
0.373 0.873 0.746 Ho
0.500 0.500 0.000 Ho
0.627 0.127 0.254 Ho
0.252 0.252 0.504 Th
0.748 0.748 0.496 Th
```

Output
Its energy above the most stable polymorph in this dataset is 9 kJ/mol of formula units. The size of the total moment is 0.000 μB/atom. As for the total energy: -42.5 eV per cell.


No. 3
Compound: AcLuTh
Source: Alexandria
Functional: PBE
Structure: relaxed

```
AcLuTh
1.0
3.678 0.000 0.000
-1.839 3.185 0.000
0.000 0.000 8.951
Ac Lu Th
1 1 1
direct
0.000 0.000 0.000 Ac
0.667 0.333 0.349 Lu
0.333 0.667 0.658 Th
```

Output
Its energy above the most stable polymorph in this dataset is 3 kJ/mol of formula units. The size of the total moment is 0.000 μB/atom. As for the total energy: -15.7 eV per cell.


Calculated values (eV/atom) of ΔE_f for the records, taken in order: -0.26, 0.04, 0.11.
Calculated values (states/eV/atom) of density of states at the Fermi level for the records, taken in order: 1.267, 1.479, 1.558.
Calculated values (Å³/cell) of volume for the records, taken in order: 176, 261, 105.